Compound: CaTcNi2Sn
Source: Alexandria
Functional: PBE-GGA
Structure: optimized geometry

Cell lengths 4.6628, 5.0191, 4.6628 Å; angles 90.00, 90.00, 90.00 degrees
Last column: nearest neighbours and their distance in Å.
Fractional coordinates of all 5 atoms:
1 Tc 0.0000 0.0000 0.0000  4 Ni 2.33, 2 Sn 2.51
2 Ni 0.0000 0.0000 0.5000  2 Tc 2.33
3 Ca 0.5000 0.5000 0.5000  4 Sn 3.30, 8 Ni 3.43
4 Sn 0.0000 0.5000 0.0000  2 Tc 2.51
5 Ni 0.5000 0.0000 0.0000  2 Tc 2.33

Properties
As for the total energy: -5.14 eV per atom. The calculation puts the theoretical density at 5.69 g/cm3. The crystal system is tetragonal. Its magnetization is 0.00 Bohr magnetons per cell. The formation energy is 0.45 eV per atom.